Computed, not measured: a relaxed structure of AcAlSiF at the GGA-PBE level of DFT.

E_form (uncorrected): -1.622 eV/atom

Cell and atoms, written as POSCAR:
```
AcAlSiF
1.0
-1.554 -3.548 1.779
3.851 -1.810 -0.246
1.981 3.131 7.977
Ac Al Si F
2 2 2 2
direct
0.500 0.000 0.688
0.000 0.500 0.312
0.500 0.500 0.000
0.000 0.000 0.000
0.000 0.500 0.841
0.500 0.000 0.159
0.000 0.000 0.500
0.500 0.500 0.500
```